AcHgW2O7 | PBE+U | relaxed

It has space group P4/mmm (No. 123), with a = 3.9499 Å, b = 3.9499 Å, c = 13.1973 Å, α = 90.00°, β = 90.00° and γ = 90.00°. The distinct sites, in fractional coordinates, are Ac at (0.0000, 0.0000, 0.0000), Hg at (0.0000, 0.0000, 0.5000), W at (0.5000, 0.5000, 0.1750), O at (0.0000, 0.5000, 0.1427), O at (0.5000, 0.5000, 0.0000) and O at (0.5000, 0.5000, 0.3063).

As for the density of states at the Fermi level: 1.627 states/eV per cell. The density is 7.32 Mg/m³. For the spin magnetization, the calculation gives 1.14 μB/f.u. As for the total DFT energy (no corrections): -76.5 eV for the cell shown.